4
Lattice="-1.0886 -3.5990 -2.3282 -2.8722 0.3174 -3.3479 1.4059 -0.4453 -4.1694" Properties=species:S:1:pos:R:3 comment="BeFePdPb, optimized geometry, DFT GGA-PBE" energy_ha_per_atom=-0.181 pbc="T T T"
Be -1.2774 -1.8634 -4.9228
Fe -1.9161 -2.7952 -7.3841
Pb 0.0000 0.0000 0.0000
Pd -0.6387 -0.9317 -2.4614